# 1
DFT (PBE-GGA) results for crystalline RbPrMgS3 at its relaxed geometry.

Results
D(E_F) ... 0.0 states/eV/f.u.
Raw formation energy ... -9.85 eV/f.u.
V ... 187 Å³/f.u.
Crystal system ... monoclinic

Unit cell a=9.1898 b=4.2512 c=9.9735 alpha=90.00 beta=106.19 gamma=90.00
Element x y z (fractional)
Rb (0.1965, 0.2500, 0.2177)
Rb (0.8035, 0.7500, 0.7823)
Pr (0.3356, 0.7500, 0.8583)
Pr (0.6644, 0.2500, 0.1417)
Mg (0.0842, 0.2500, 0.6058)
Mg (0.9158, 0.7500, 0.3942)
S (0.1216, 0.2500, 0.8544)
S (0.1847, 0.7500, 0.5388)
S (0.4576, 0.7500, 0.1492)
S (0.5424, 0.2500, 0.8508)
S (0.8153, 0.2500, 0.4612)
S (0.8784, 0.7500, 0.1456)



# 2
DFT (PBE-GGA) results for crystalline Ta2CuSb at its relaxed geometry.

Results
D(E_F) ... 1.9 states/eV/f.u.
Raw formation energy ... 0.56 eV/f.u.
V ... 70 Å³/f.u.
Crystal system ... tetragonal

Unit cell a=4.0085 b=4.0085 c=4.3637 alpha=90.00 beta=90.00 gamma=90.00
Element x y z (fractional)
Ta (0.0000, 0.5000, 0.0000)
Ta (0.5000, 0.0000, 0.0000)
Cu (0.0000, 0.0000, 0.5000)
Sb (0.5000, 0.5000, 0.5000)



# 3
DFT (PBE-GGA) results for crystalline TlCuTe3 at its relaxed geometry.

Results
Relative energy among the computed polymorphs ... 1.068 eV/atom
D(E_F) ... 5.8 states/eV/f.u.
Raw formation energy ... 5.03 eV/f.u.
V ... 188 Å³/f.u.
Crystal system ... cubic

Unit cell a=5.7289 b=5.7289 c=5.7289 alpha=90.00 beta=90.00 gamma=90.00
Element x y z (fractional)
Tl (0.0000, 0.0000, 0.0000)
Cu (0.5000, 0.5000, 0.5000)
Te (0.0000, 0.0000, 0.5000)
Te (0.0000, 0.5000, 0.0000)
Te (0.5000, 0.0000, 0.0000)



# 4
DFT (PBE-GGA) results for crystalline Rb4Tl5Hg at its relaxed geometry.

Results
D(E_F) ... 8.8 states/eV/f.u.
V ... 454 Å³/f.u.
Energy of formation from the pure elements ... -0.0657 eV per atom
Crystal system ... tetragonal

Unit cell a=8.6081 b=8.6081 c=8.6081 alpha=101.32 beta=101.32 gamma=127.42
Element x y z (fractional)
Rb (0.0648, 0.3035, 0.3683)
Rb (0.3035, 0.9352, 0.2388)
Rb (0.6965, 0.0648, 0.7612)
Rb (0.9352, 0.6965, 0.6317)
Tl (0.2067, 0.2067, 0.0000)
Tl (0.3084, 0.5799, 0.8825)
Tl (0.4258, 0.3084, 0.7285)
Tl (0.5799, 0.6974, 0.2715)
Tl (0.6974, 0.4258, 0.1175)
Hg (0.8041, 0.8041, 0.0000)



# 5
DFT (PBE-GGA) results for crystalline NaInHg2Br4 at its relaxed geometry.

Results
D(E_F) ... 0.0 states/eV/f.u.
Raw formation energy ... -6.02 eV/f.u.
V ... 310 Å³/f.u.
Crystal system ... triclinic

Unit cell a=7.1438 b=7.2522 c=7.2543 alpha=69.82 beta=61.56 gamma=77.89
Element x y z (fractional)
Na (0.0000, 0.0000, 0.0000)
In (0.6895, 0.6569, 0.7780)
Hg (0.0281, 0.2792, 0.2676)
Hg (0.3439, 0.2815, 0.5305)
Br (0.0356, 0.7541, 0.7300)
Br (0.3726, 0.7895, 0.0726)
Br (0.6635, 0.7795, 0.4166)
Br (0.6695, 0.2831, 0.9020)



# 6
DFT (PBE-GGA) results for crystalline SiP2AuCl at its relaxed geometry.

Results
Relative energy among the computed polymorphs ... 0.000 eV/atom
D(E_F) ... 3.5 states/eV/f.u.
Raw formation energy ... 3.29 eV/f.u.
V ... 96 Å³/f.u.
Crystal system ... tetragonal

Unit cell a=4.6299 b=4.6299 c=4.4606 alpha=90.00 beta=90.00 gamma=90.00
Element x y z (fractional)
Si (0.0000, 0.0000, 0.0000)
P (0.0000, 0.5000, 0.0000)
P (0.5000, 0.0000, 0.0000)
Au (0.5000, 0.5000, 0.5000)
Cl (0.0000, 0.0000, 0.5000)



# 7
DFT (PBE-GGA) results for crystalline AgPbF2 at its relaxed geometry.

Results
Relative energy among the computed polymorphs ... 0.000 eV/atom
D(E_F) ... 2.0 states/eV/f.u.
Raw formation energy ... -4.86 eV/f.u.
V ... 78 Å³/f.u.
Crystal system ... tetragonal

Unit cell a=8.3263 b=8.3263 c=8.3263 alpha=148.65 beta=148.65 gamma=44.93
Element x y z (fractional)
Ag (0.0000, 0.0000, 0.0000)
Ag (0.7500, 0.2500, 0.5000)
Pb (0.2500, 0.7500, 0.5000)
Pb (0.5000, 0.5000, 0.0000)
F (0.1301, 0.6250, 0.0051)
F (0.3750, 0.3801, 0.5051)
F (0.6199, 0.1250, 0.9949)
F (0.8750, 0.8699, 0.4949)



# 8
DFT (PBE-GGA) results for crystalline Na2CdSiS4 at its relaxed geometry.

Results
D(E_F) ... 0.0 states/eV/f.u.
Raw formation energy ... -7.20 eV/f.u.
V ... 200 Å³/f.u.
Crystal system ... orthorhombic

Unit cell a=7.7672 b=7.6754 c=6.7101 alpha=90.00 beta=90.00 gamma=90.00
Element x y z (fractional)
Na (0.2422, 0.1668, 0.0000)
Na (0.2578, 0.8332, 0.5000)
Na (0.7422, 0.8332, 0.5000)
Na (0.7578, 0.1668, 0.0000)
Cd (0.0000, 0.3683, 0.4999)
Cd (0.5000, 0.6317, 0.9999)
Si (0.0000, 0.6655, 0.0027)
Si (0.5000, 0.3345, 0.5027)
S (0.0000, 0.4081, 0.8836)
S (0.0000, 0.6588, 0.3207)
S (0.2237, 0.8122, 0.9104)
S (0.2763, 0.1878, 0.4104)
S (0.5000, 0.3412, 0.8207)
S (0.5000, 0.5919, 0.3836)
S (0.7237, 0.1878, 0.4104)
S (0.7763, 0.8122, 0.9104)



# 9
DFT (PBE-GGA) results for crystalline Sm5Y3Sb8 at its relaxed geometry.

Results
D(E_F) ... 2.4 states/eV/f.u.
Raw formation energy ... -18.74 eV/f.u.
V ... 496 Å³/f.u.
Crystal system ... trigonal

Unit cell a=8.8822 b=8.8822 c=8.8822 alpha=60.03 beta=60.03 gamma=60.03
Element x y z (fractional)
Sm (0.0000, 0.0000, 0.0000)
Sm (0.0000, 0.5000, 0.5000)
Sm (0.5000, 0.0000, 0.5000)
Sm (0.5000, 0.5000, 0.0000)
Sm (0.5000, 0.5000, 0.5000)
Y (0.0000, 0.0000, 0.5000)
Y (0.0000, 0.5000, 0.0000)
Y (0.5000, 0.0000, 0.0000)
Sb (0.2466, 0.7500, 0.7500)
Sb (0.2483, 0.2483, 0.2483)
Sb (0.2500, 0.2500, 0.7534)
Sb (0.2500, 0.7534, 0.2500)
Sb (0.7500, 0.2466, 0.7500)
Sb (0.7500, 0.7500, 0.2466)
Sb (0.7517, 0.7517, 0.7517)
Sb (0.7534, 0.2500, 0.2500)



# 10
DFT (PBE-GGA) results for crystalline BiSbH2 at its relaxed geometry.

Results
Relative energy among the computed polymorphs ... 0.648 eV/atom
D(E_F) ... 1.6 states/eV/f.u.
V ... 64 Å³/f.u.
Crystal system ... cubic

Unit cell a=4.4912 b=4.4912 c=4.4912 alpha=60.00 beta=60.00 gamma=60.00
Element x y z (fractional)
Bi (0.0000, 0.0000, 0.0000)
Sb (0.5000, 0.5000, 0.5000)
H (0.2500, 0.2500, 0.2500)
H (0.7500, 0.7500, 0.7500)



# 11
DFT (PBE-GGA) results for crystalline Cu3PtPb at its relaxed geometry.

Results
Relative energy among the computed polymorphs ... 0.764 eV/atom
D(E_F) ... 5.6 states/eV/f.u.
V ... 111 Å³/f.u.
Energy of formation from the pure elements ... 1.2862 eV per atom
Crystal system ... cubic

Unit cell a=4.8015 b=4.8015 c=4.8015 alpha=90.00 beta=90.00 gamma=90.00
Element x y z (fractional)
Cu (0.0000, 0.0000, 0.5000)
Cu (0.0000, 0.5000, 0.0000)
Cu (0.5000, 0.0000, 0.0000)
Pt (0.5000, 0.5000, 0.5000)
Pb (0.0000, 0.0000, 0.0000)



# 12
DFT (PBE-GGA) results for crystalline U2TcRu5 at its relaxed geometry.

Results
D(E_F) ... 9.7 states/eV/f.u.
V ... 128 Å³/f.u.
Energy of formation from the pure elements ... -0.2652 eV per atom
Crystal system ... orthorhombic

Unit cell a=5.6584 b=11.3183 c=4.0105 alpha=90.00 beta=90.00 gamma=90.00
Element x y z (fractional)
U (0.2439, 0.1263, 0.0000)
U (0.2561, 0.6263, 0.0000)
U (0.7439, 0.3737, 0.0000)
U (0.7561, 0.8737, 0.0000)
Tc (0.0000, 0.5000, 0.5000)
Tc (0.5000, 0.0000, 0.5000)
Ru (0.0000, 0.0000, 0.5000)
Ru (0.0088, 0.7509, 0.5000)
Ru (0.2422, 0.3769, 0.0000)
Ru (0.2578, 0.8769, 0.0000)
Ru (0.4912, 0.2509, 0.5000)
Ru (0.5000, 0.5000, 0.5000)
Ru (0.5088, 0.7491, 0.5000)
Ru (0.7422, 0.1231, 0.0000)
Ru (0.7578, 0.6231, 0.0000)
Ru (0.9912, 0.2491, 0.5000)



- Which of these has the lowest V?
  BiSbH2